No. 1
A geometry-optimized LaNbSe2 structure. Source: Alexandria, functional GGA-PBE.

Results
formation energy from raw total energies = -1.84 eV per formula unit
crystal system = trigonal

Cell lengths 8.8486, 8.8486, 8.8486 Å; angles 27.99, 27.99, 27.99 degrees
Sites, in units of the cell vectors:
La  0.0000  0.0000  0.0000
Nb  0.5000  0.5000  0.5000
Se  0.3988  0.3988  0.3988
Se  0.6012  0.6012  0.6012

No. 2
A geometry-optimized LaNbSe2 structure. Source: Alexandria, functional GGA-PBE.

Results
formation energy from raw total energies = -2.70 eV per formula unit
crystal system = trigonal

Cell lengths 9.6799, 9.6799, 9.6799 Å; angles 20.99, 20.99, 20.99 degrees
Sites, in units of the cell vectors:
La  0.0000  0.0000  0.0000
Nb  0.5000  0.5000  0.5000
Se  0.1070  0.1070  0.1070
Se  0.8930  0.8930  0.8930

No. 3
A geometry-optimized LaNbSe2 structure. Source: Alexandria, functional GGA-PBE.

Results
formation energy from raw total energies = -2.79 eV per formula unit
crystal system = tetragonal

Cell lengths 8.2175, 8.2175, 8.2175 Å; angles 138.45, 138.45, 60.22 degrees
Sites, in units of the cell vectors:
La  0.0000  0.0000  0.0000
La  0.7500  0.2500  0.5000
Nb  0.2500  0.7500  0.5000
Nb  0.5000  0.5000  0.0000
Se  0.1911  0.6250  0.0661
Se  0.3750  0.4411  0.5661
Se  0.5589  0.1250  0.9339
Se  0.8750  0.8089  0.4339

No. 4
A geometry-optimized LaNbSe2 structure. Source: Alexandria, functional GGA-PBE.

Results
formation energy from raw total energies = -3.93 eV per formula unit
crystal system = cubic

Cell lengths 4.9264, 4.9264, 4.9264 Å; angles 60.00, 60.00, 60.00 degrees
Sites, in units of the cell vectors:
La  0.0000  0.0000  0.0000
Nb  0.5000  0.5000  0.5000
Se  0.2500  0.2500  0.2500
Se  0.7500  0.7500  0.7500

No. 5
A geometry-optimized LaNb2Se2 structure. Source: Alexandria, functional GGA-PBE.

Results
formation energy from raw total energies = -4.09 eV per formula unit
crystal system = tetragonal

Cell lengths 7.4316, 7.4316, 7.4316 Å; angles 149.05, 149.05, 44.33 degrees
Sites, in units of the cell vectors:
La  0.0000  0.0000  0.0000
Nb  0.2500  0.7500  0.5000
Nb  0.7500  0.2500  0.5000
Se  0.3841  0.3841  0.0000
Se  0.6159  0.6159  0.0000

No. 6
A geometry-optimized LaNb2Se2 structure. Source: Alexandria, functional GGA-PBE.

Results
formation energy from raw total energies = -1.94 eV per formula unit
crystal system = tetragonal

Cell lengths 8.0193, 8.0193, 3.2949 Å; angles 90.00, 90.00, 90.00 degrees
Sites, in units of the cell vectors:
La  0.0000  0.0000  0.0000
La  0.5000  0.5000  0.0000
Nb  0.1168  0.3832  0.5000
Nb  0.3832  0.8832  0.5000
Nb  0.6168  0.1168  0.5000
Nb  0.8832  0.6168  0.5000
Se  0.1531  0.6531  0.0000
Se  0.3469  0.1531  0.0000
Se  0.6531  0.8469  0.0000
Se  0.8469  0.3469  0.0000

ΔE to the lowest computed polymorph across the listed records, respectively: 524 309 286 0 0 429 meV/atom.
Total energy across the listed records, respectively: -5.9504 -6.1661 -6.1888 -6.4748 -7.2247 -6.7958 eV/atom.